This record from Alexandria describes a geometry-optimized Tl2VZn2 structure. The functional is PBE.

POSCAR file:
```
Tl2VZn2
1.0
4.263 0.000 0.000
0.000 4.263 0.000
0.000 0.000 12.602
Tl V Zn
4 2 4
direct
0.000 0.500 0.250
0.000 0.500 0.750
0.500 0.000 0.250
0.500 0.000 0.750
0.000 0.000 0.000
0.500 0.500 0.500
0.000 0.000 0.407
0.000 0.000 0.593
0.500 0.500 0.093
0.500 0.500 0.907
```

## Properties
E_form, eV per atom: 0.65
Symmetry: I4/mmm, No. 139
DOS(E_F), states/eV/f.u.: 4.576
Energy above the lowest structure with this stoichiometry, eV per atom: 0.2071

This record from Alexandria describes a geometry-optimized KBaHg10 structure. The functional is PBE.

POSCAR file:
```
KBaHg10
1.0
5.424 0.000 0.000
0.000 6.175 0.000
0.000 0.000 10.832
K Ba Hg
1 1 10
direct
0.000 0.000 0.000
0.000 0.500 0.500
0.000 0.000 0.330
0.000 0.000 0.670
0.000 0.500 0.163
0.000 0.500 0.837
0.500 0.000 0.500
0.500 0.255 0.258
0.500 0.255 0.742
0.500 0.500 0.000
0.500 0.745 0.258
0.500 0.745 0.742
```

## Properties
E_form, eV per atom: -0.20
Symmetry: Pmmm, No. 47
DOS(E_F), states/eV/f.u.: 4.766

This record from Alexandria describes a geometry-optimized CuRhF2 structure. The functional is PBE.

POSCAR file:
```
CuRhF2
1.0
2.771 0.000 0.000
-1.386 2.400 0.000
0.000 0.000 22.674
Cu Rh F
3 3 6
direct
0.000 0.000 0.000
0.333 0.667 0.667
0.667 0.333 0.333
0.000 0.000 0.500
0.333 0.667 0.167
0.667 0.333 0.833
0.000 0.000 0.081
0.000 0.000 0.919
0.333 0.667 0.585
0.333 0.667 0.748
0.667 0.333 0.252
0.667 0.333 0.415
```

## Properties
Raw formation energy, eV/atom: -0.59
Symmetry: R-3m, No. 166
DOS(E_F), states/eV/f.u.: 2.290
Energy above the lowest structure with this stoichiometry, eV per atom: 0.1990

This record from Alexandria describes a geometry-optimized Tb2AlCu4Ge3 structure. The functional is PBE.

POSCAR file:
```
Tb2AlCu4Ge3
1.0
4.051 0.000 0.000
0.000 4.051 0.000
0.000 0.000 10.390
Tb Al Cu Ge
2 1 4 3
direct
0.000 0.500 0.241
0.500 0.000 0.759
0.000 0.000 0.500
0.000 0.000 0.000
0.000 0.500 0.638
0.500 0.000 0.362
0.500 0.500 0.000
0.000 0.500 0.867
0.500 0.000 0.133
0.500 0.500 0.500
```

## Properties
E_form, eV per atom: -0.51
Symmetry: P-4m2, No. 115
DOS(E_F), states/eV/f.u.: 4.301

This record from Alexandria describes a geometry-optimized CeHoNiGe structure. The functional is PBE.

POSCAR file:
```
CeHoNiGe
1.0
7.029 0.000 0.000
0.000 7.029 0.000
0.000 0.000 7.029
Ce Ho Ni Ge
4 4 4 4
direct
0.000 0.000 0.000
0.000 0.500 0.500
0.500 0.000 0.500
0.500 0.500 0.000
0.000 0.000 0.500
0.000 0.500 0.000
0.500 0.000 0.000
0.500 0.500 0.500
0.250 0.250 0.750
0.250 0.750 0.250
0.750 0.250 0.250
0.750 0.750 0.750
0.250 0.250 0.250
0.250 0.750 0.750
0.750 0.250 0.750
0.750 0.750 0.250
```

## Properties
E_form, eV per atom: -0.44
Symmetry: F-43m, No. 216
DOS(E_F), states/eV/f.u.: 7.602

This record from Alexandria describes a geometry-optimized V2SnPtC structure. The functional is PBE.

POSCAR file:
```
V2SnPtC
1.0
5.088 0.000 0.000
0.000 5.088 0.000
0.000 0.000 4.877
V Sn Pt C
2 1 1 1
direct
0.000 0.500 0.000
0.500 0.000 0.000
0.000 0.000 0.000
0.000 0.000 0.500
0.500 0.500 0.500
```

## Properties
E_form, eV per atom: 2.53
Symmetry: P4/mmm, No. 123
DOS(E_F), states/eV/f.u.: 9.349

This record from Alexandria describes a geometry-optimized Ga2BRu2 structure. The functional is PBE.

POSCAR file:
```
Ga2BRu2
1.0
5.818 0.000 0.000
0.000 5.818 0.000
0.000 0.000 3.993
Ga B Ru
4 2 4
direct
0.155 0.345 0.000
0.345 0.845 0.000
0.655 0.155 0.000
0.845 0.655 0.000
0.000 0.000 0.500
0.500 0.500 0.500
0.167 0.667 0.500
0.333 0.167 0.500
0.667 0.833 0.500
0.833 0.333 0.500
```

## Properties
E_form, eV per atom: -0.23
Symmetry: P4/mbm, No. 127
DOS(E_F), states/eV/f.u.: 2.400
Energy above the lowest structure with this stoichiometry, eV per atom: 0.0000

This record from Alexandria describes a geometry-optimized AlCdAu2 structure. The functional is PBE.

POSCAR file:
```
AlCdAu2
1.0
3.179 0.000 0.000
0.000 3.320 0.000
-0.027 0.000 6.805
Al Cd Au
1 1 2
direct
0.000 0.000 0.000
0.000 0.000 0.500
0.497 0.500 0.783
0.503 0.500 0.217
```

## Properties
E_form, eV per atom: -0.26
Symmetry: P2/m, No. 10
DOS(E_F), states/eV/f.u.: 0.789
Energy above the lowest structure with this stoichiometry, eV per atom: 0.0102

This record from Alexandria describes a geometry-optimized SrInSb structure. The functional is PBE.

POSCAR file:
```
SrInSb
1.0
8.227 0.000 0.000
0.000 5.014 0.000
0.000 0.000 10.074
Sr In Sb
4 4 4
direct
0.138 0.250 0.166
0.362 0.750 0.666
0.638 0.250 0.334
0.862 0.750 0.834
0.011 0.750 0.429
0.489 0.250 0.929
0.511 0.750 0.071
0.989 0.250 0.571
0.148 0.250 0.830
0.352 0.750 0.330
0.648 0.250 0.670
0.852 0.750 0.170
```

## Properties
Raw formation energy, eV/atom: -0.66
Symmetry: Pnma, No. 62
DOS(E_F), states/eV/f.u.: 0.449